Record 1
Compound: Sm4Ga16Co3
Source: the Alexandria database
Functional: GGA-PBE
Structure: relaxed

Computed properties:
Energy relative to the elements = -0.52 eV/atom
Crystal system = tetragonal
Uncorrected energy = -0.32106 Ry/atom
SG = P4/mmm, No. 123

a = 6.079 Å, b = 6.079 Å, c = 11.244 Å
α = 90.00°, β = 90.00°, γ = 90.00°
Fractional positions:
Sm 0.000 0.500 0.196
Sm 0.000 0.500 0.804
Sm 0.500 0.000 0.196
Sm 0.500 0.000 0.804
Ga 0.000 0.000 0.194
Ga 0.000 0.000 0.806
Ga 0.220 0.220 0.000
Ga 0.220 0.780 0.000
Ga 0.251 0.251 0.386
Ga 0.251 0.251 0.614
Ga 0.251 0.749 0.386
Ga 0.251 0.749 0.614
Ga 0.500 0.500 0.218
Ga 0.500 0.500 0.782
Ga 0.749 0.251 0.386
Ga 0.749 0.251 0.614
Ga 0.749 0.749 0.386
Ga 0.749 0.749 0.614
Ga 0.780 0.220 0.000
Ga 0.780 0.780 0.000
Co 0.000 0.500 0.500
Co 0.500 0.000 0.500
Co 0.500 0.500 0.000



Record 2
Compound: TbAgP2Pt7
Source: the Alexandria database
Functional: GGA-PBE
Structure: relaxed

Computed properties:
Energy relative to the elements = -0.30 eV/atom
Crystal system = tetragonal
Uncorrected energy = -0.42703 Ry/atom
SG = I-4m2, No. 119

a = 14.902 Å, b = 14.902 Å, c = 14.902 Å
α = 164.53°, β = 164.53°, γ = 21.94°
Fractional positions:
Tb 0.000 0.000 0.000
Ag 0.750 0.250 0.500
P 0.381 0.381 0.000
P 0.619 0.619 0.000
Pt 0.075 0.575 0.500
Pt 0.308 0.308 0.000
Pt 0.425 0.925 0.500
Pt 0.500 0.500 0.000
Pt 0.575 0.075 0.500
Pt 0.692 0.692 0.000
Pt 0.925 0.425 0.500



Record 3
Compound: Ti5In2Fe2Cu
Source: the Alexandria database
Functional: GGA-PBE
Structure: relaxed

Computed properties:
Energy relative to the elements = -0.16 eV/atom
Crystal system = tetragonal
Uncorrected energy = -0.49655 Ry/atom
SG = P4/mbm, No. 127

a = 10.337 Å, b = 10.337 Å, c = 3.053 Å
α = 90.00°, β = 90.00°, γ = 90.00°
Fractional positions:
Ti 0.000 0.500 0.000
Ti 0.067 0.204 0.000
Ti 0.204 0.933 0.000
Ti 0.296 0.433 0.000
Ti 0.433 0.704 0.000
Ti 0.500 0.000 0.000
Ti 0.567 0.296 0.000
Ti 0.704 0.567 0.000
Ti 0.796 0.067 0.000
Ti 0.933 0.796 0.000
In 0.175 0.675 0.500
In 0.325 0.175 0.500
In 0.675 0.825 0.500
In 0.825 0.325 0.500
Fe 0.130 0.370 0.500
Fe 0.370 0.870 0.500
Fe 0.630 0.130 0.500
Fe 0.870 0.630 0.500
Cu 0.000 0.000 0.500
Cu 0.500 0.500 0.500



Record 4
Compound: Pm8HRh3Br4
Source: the Alexandria database
Functional: GGA-PBE
Structure: relaxed

Computed properties:
Crystal system = trigonal
Uncorrected energy = -0.39290 Ry/atom
SG = R-3m, No. 166

a = 9.054 Å, b = 9.054 Å, c = 9.054 Å
α = 52.97°, β = 52.97°, γ = 52.97°
Fractional positions:
Pm 0.232 0.232 0.232
Pm 0.236 0.729 0.729
Pm 0.271 0.271 0.764
Pm 0.271 0.764 0.271
Pm 0.729 0.236 0.729
Pm 0.729 0.729 0.236
Pm 0.764 0.271 0.271
Pm 0.768 0.768 0.768
H 0.500 0.500 0.500
Rh 0.000 0.000 0.500
Rh 0.000 0.500 0.000
Rh 0.500 0.000 0.000
Br 0.000 0.000 0.000
Br 0.000 0.500 0.500
Br 0.500 0.000 0.500
Br 0.500 0.500 0.000



Respective ρ values: 7.57, 11.95, 6.56, 6.78 g/cm3.
Respective total magnetization values: 0.000, 0.000, 0.007, 0.000 μB per atom.